AcPr7Sm2 PBE relaxed; offset from the most stable computed form = 0.4096 eV per atom
1.0
4.536 -8.209 0.000
4.536 8.209 0.000
0.000 0.000 5.829
Ac Pr Sm
1 7 2
Cartesian
0.000 0.000 0.000
1.644 1.944 2.915
4.536 4.322 0.000
1.644 -1.944 2.915
4.536 0.000 2.915
7.428 1.944 2.915
4.536 -4.322 0.000
7.428 -1.944 2.915
4.536 3.311 2.915
4.536 -3.311 2.915